No. 1
# PrPd2Au3 (PBE, optimized geometry)
# - N(E_F): 20.2 states/eV/cell
# - ΔH_f (0 K): -0.41 eV/atom
data_PrPd2Au3
_chemical_formula_sum 'Pr6 Pd12 Au18'
_cell_length_a 6.1833
_cell_length_b 6.1833
_cell_length_c 21.2256
_cell_angle_alpha 90.00
_cell_angle_beta 90.00
_cell_angle_gamma 120.00
_space_group_name_H-M_alt 'R -3 m'
_space_group_IT_number 166
_space_group_name_Hall '-R 3 2"'
loop_
_atom_site_label
_atom_site_type_symbol
_atom_site_fract_x
_atom_site_fract_y
_atom_site_fract_z
_atom_site_occupancy
Pr1 Pr 0.0000 0.0000 0.2254 1
Pd1 Pd 0.0000 0.0000 0.0000 1
Pd2 Pd 0.0000 0.5000 0.0000 1
Au1 Au 0.0097 0.5048 0.2269 1

***

No. 2
# PrPdAu2 (PBE, optimized geometry)
# - N(E_F): 12.4 states/eV/cell
# - Relative energy among the computed polymorphs: 0.23 kcal/mol of atoms
# - ΔH_f (0 K): -0.69 eV/atom
data_PrPdAu2
_chemical_formula_sum 'Pr8 Pd8 Au16'
_cell_length_a 15.966
_cell_length_b 7.821
_cell_length_c 5.501
_cell_angle_alpha 90.00
_cell_angle_beta 90.00
_cell_angle_gamma 90.00
_space_group_name_H-M_alt 'P n m a'
_space_group_IT_number 62
loop_
_space_group_symop_operation_xyz
'x,y,z'
'-x,-y,-z'
'-x+1/2,-y,z+1/2'
'x+1/2,y,-z+1/2'
'x+1/2,-y+1/2,-z+1/2'
'-x+1/2,y+1/2,z+1/2'
'-x,y+1/2,-z'
'x,-y+1/2,z'
loop_
_atom_site_label
_atom_site_type_symbol
_atom_site_fract_x
_atom_site_fract_y
_atom_site_fract_z
_atom_site_occupancy
Pr1 Pr 0.104 0.250 0.226 1
Pr2 Pr 0.143 0.750 0.461 1
Pd1 Pd 0.071 0.750 0.967 1
Pd2 Pd 0.179 0.250 0.721 1
Au1 Au 0.032 0.056 0.726 1
Au2 Au 0.217 0.554 0.940 1

***

No. 3
# PrPd2Au4 (PBE, optimized geometry)
# - N(E_F): 4.6 states/eV/cell
# - Relative energy among the computed polymorphs: 0.00 kcal/mol of atoms
# - ΔH_f (0 K): -0.48 eV/atom
data_PrPd2Au4
_chemical_formula_sum 'Pr2 Pd4 Au8'
_cell_length_a 8.908
_cell_length_b 7.080
_cell_length_c 5.438
_cell_angle_alpha 90.00
_cell_angle_beta 127.44
_cell_angle_gamma 90.00
_space_group_name_H-M_alt 'C 1 2/m 1'
_space_group_IT_number 12
loop_
_space_group_symop_operation_xyz
'x,y,z'
'-x,-y,-z'
'-x,y,-z'
'x,-y,z'
'x+1/2,y+1/2,z'
'-x+1/2,-y+1/2,-z'
'-x+1/2,y+1/2,-z'
'x+1/2,-y+1/2,z'
loop_
_atom_site_label
_atom_site_type_symbol
_atom_site_fract_x
_atom_site_fract_y
_atom_site_fract_z
_atom_site_occupancy
Pr1 Pr 0.000 0.000 0.000 1
Pd1 Pd 0.001 0.500 0.750 1
Au1 Au 0.198 0.198 0.698 1

***

No. 4
# Pr3Pd2Au4 (PBE, optimized geometry)
# - N(E_F): 10.4 states/eV/cell
# - Relative energy among the computed polymorphs: 0.37 kcal/mol of atoms
# - ΔH_f (0 K): -0.74 eV/atom
data_Pr3Pd2Au4
_chemical_formula_sum 'Pr6 Pd4 Au8'
_cell_length_a 9.941
_cell_length_b 4.914
_cell_length_c 8.843
_cell_angle_alpha 90.00
_cell_angle_beta 105.32
_cell_angle_gamma 90.00
_space_group_name_H-M_alt 'C 1 2/m 1'
_space_group_IT_number 12
loop_
_space_group_symop_operation_xyz
'x,y,z'
'-x,-y,-z'
'-x,y,-z'
'x,-y,z'
'x+1/2,y+1/2,z'
'-x+1/2,-y+1/2,-z'
'-x+1/2,y+1/2,-z'
'x+1/2,-y+1/2,z'
loop_
_atom_site_label
_atom_site_type_symbol
_atom_site_fract_x
_atom_site_fract_y
_atom_site_fract_z
_atom_site_occupancy
Pr1 Pr 0.000 0.000 0.000 1
Pr2 Pr 0.140 0.500 0.702 1
Pd1 Pd 0.199 0.500 0.387 1
Au1 Au 0.056 0.000 0.363 1
Au2 Au 0.208 0.500 0.072 1

***

No. 5
# Pr3PdAu2 (PBE, optimized geometry)
# - N(E_F): 11.1 states/eV/cell
# - Relative energy among the computed polymorphs: 0.00 kcal/mol of atoms
# - ΔH_f (0 K): -0.73 eV/atom
data_Pr3PdAu2
_chemical_formula_sum 'Pr6 Pd2 Au4'
_cell_length_a 5.267
_cell_length_b 15.676
_cell_length_c 3.717
_cell_angle_alpha 90.00
_cell_angle_beta 90.00
_cell_angle_gamma 90.00
_space_group_name_H-M_alt 'C m m m'
_space_group_IT_number 65
_space_group_name_Hall '-C 2 2'
loop_
_atom_site_label
_atom_site_type_symbol
_atom_site_fract_x
_atom_site_fract_y
_atom_site_fract_z
_atom_site_occupancy
Pr1 Pr 0.000 0.000 0.000 1
Pr2 Pr 0.000 0.338 0.000 1
Pd1 Pd 0.000 0.500 0.500 1
Au1 Au 0.000 0.169 0.500 1

***

No. 6
# Pr3Pd2Au3 (PBE, optimized geometry)
# - N(E_F): 8.4 states/eV/cell
# - Relative energy among the computed polymorphs: 1.54 kcal/mol of atoms
# - ΔH_f (0 K): -0.71 eV/atom
data_Pr3Pd2Au3
_chemical_formula_sum 'Pr6 Pd4 Au6'
_cell_length_a 18.565
_cell_length_b 4.049
_cell_length_c 5.101
_cell_angle_alpha 90.00
_cell_angle_beta 99.62
_cell_angle_gamma 90.00
_space_group_name_H-M_alt 'C 1 2/m 1'
_space_group_IT_number 12
loop_
_space_group_symop_operation_xyz
'x,y,z'
'-x,-y,-z'
'-x,y,-z'
'x,-y,z'
'x+1/2,y+1/2,z'
'-x+1/2,-y+1/2,-z'
'-x+1/2,y+1/2,-z'
'x+1/2,-y+1/2,z'
loop_
_atom_site_label
_atom_site_type_symbol
_atom_site_fract_x
_atom_site_fract_y
_atom_site_fract_z
_atom_site_occupancy
Pr1 Pr 0.000 0.000 0.000 1
Pr2 Pr 0.149 0.000 0.600 1
Pd1 Pd 0.238 0.000 0.174 1
Au1 Au 0.000 0.500 0.500 1
Au2 Au 0.129 0.500 0.090 1

***

No. 7
# Pr3PdAu2 (PBE, optimized geometry)
# - N(E_F): 15.8 states/eV/cell
# - Relative energy among the computed polymorphs: 1.61 kcal/mol of atoms
# - ΔH_f (0 K): -0.66 eV/atom
data_Pr3PdAu2
_chemical_formula_sum 'Pr12 Pd4 Au8'
_cell_length_a 13.994
_cell_length_b 6.107
_cell_length_c 8.456
_cell_angle_alpha 90.00
_cell_angle_beta 107.53
_cell_angle_gamma 90.00
_space_group_name_H-M_alt 'C 1 2/c 1'
_space_group_IT_number 15
loop_
_space_group_symop_operation_xyz
'x,y,z'
'-x,-y,-z'
'-x,y,-z+1/2'
'x,-y,z+1/2'
'x+1/2,y+1/2,z'
'-x+1/2,-y+1/2,-z'
'-x+1/2,y+1/2,-z+1/2'
'x+1/2,-y+1/2,z+1/2'
loop_
_atom_site_label
_atom_site_type_symbol
_atom_site_fract_x
_atom_site_fract_y
_atom_site_fract_z
_atom_site_occupancy
Pr1 Pr 0.000 0.002 0.250 1
Pr2 Pr 0.156 0.499 0.078 1
Pd1 Pd 0.000 0.498 0.750 1
Au1 Au 0.171 0.001 0.586 1

***

No. 8
# Pr3Pd4Au (PBE, optimized geometry)
# - N(E_F): 7.0 states/eV/cell
# - ΔH_f (0 K): -0.65 eV/atom
data_Pr3Pd4Au
_chemical_formula_sum 'Pr6 Pd8 Au2'
_cell_length_a 4.043
_cell_length_b 6.869
_cell_length_c 14.180
_cell_angle_alpha 90.00
_cell_angle_beta 90.00
_cell_angle_gamma 90.00
_space_group_name_H-M_alt 'I m m m'
_space_group_IT_number 71
_space_group_name_Hall '-I 2 2'
loop_
_atom_site_label
_atom_site_type_symbol
_atom_site_fract_x
_atom_site_fract_y
_atom_site_fract_z
_atom_site_occupancy
Pr1 Pr 0.000 0.000 0.000 1
Pr2 Pr 0.000 0.500 0.178 1
Pd1 Pd 0.000 0.304 0.372 1
Au1 Au 0.000 0.000 0.500 1

***

Please write out number 5 again, unchanged.
# Pr3PdAu2 (PBE, optimized geometry)
# - N(E_F): 11.1 states/eV/cell
# - Relative energy among the computed polymorphs: 0.00 kcal/mol of atoms
# - ΔH_f (0 K): -0.73 eV/atom
data_Pr3PdAu2
_chemical_formula_sum 'Pr6 Pd2 Au4'
_cell_length_a 5.267
_cell_length_b 15.676
_cell_length_c 3.717
_cell_angle_alpha 90.00
_cell_angle_beta 90.00
_cell_angle_gamma 90.00
_space_group_name_H-M_alt 'C m m m'
_space_group_IT_number 65
_space_group_name_Hall '-C 2 2'
loop_
_atom_site_label
_atom_site_type_symbol
_atom_site_fract_x
_atom_site_fract_y
_atom_site_fract_z
_atom_site_occupancy
Pr1 Pr 0.000 0.000 0.000 1
Pr2 Pr 0.000 0.338 0.000 1
Pd1 Pd 0.000 0.500 0.500 1
Au1 Au 0.000 0.169 0.500 1